(1)
Below is crystalline DyTmTlZn at its relaxed geometry, with properties calculated at the GGA-PBE level.

Cell: 3.6423 3.6423 7.3774 Å, 90.00 90.00 90.00°
Element x y z (fractional)
Dy (0.0000, 0.0000, 0.8360)
Tm (0.0000, 0.0000, 0.3787)
Tl (0.5000, 0.5000, 0.1122)
Zn (0.5000, 0.5000, 0.6010)

Summary:
Energy relative to the lowest polymorph listed for this composition = 0.0 meV/atom
E_form = -0.3416 eV per atom

(2)
Below is crystalline DyAlSn2 at its relaxed geometry, with properties calculated at the GGA-PBE level.

Cell: 3.3686 3.3686 10.8489 Å, 81.07 81.07 60.00°
Element x y z (fractional)
Al (0.0000, 0.0000, 0.0000)
Sn (0.0858, 0.0858, 0.7426)
Sn (0.9142, 0.9142, 0.2574)
Dy (0.5000, 0.5000, 0.5000)

Summary:
E_form = -0.0286 eV per atom

(3)
Below is crystalline CoTcNi2 at its relaxed geometry, with properties calculated at the GGA-PBE level.

Cell: 4.4376 4.4376 4.3941 Å, 80.27 80.27 33.54°
Element x y z (fractional)
Co (0.7500, 0.7500, 0.7500)
Ni (0.0030, 0.0030, 0.9978)
Ni (0.4970, 0.4970, 0.5022)
Tc (0.2500, 0.2500, 0.2500)

Summary:
Energy relative to the lowest polymorph listed for this composition = 41.0 meV/atom
E_form = 0.0750 eV per atom

(4)
Below is crystalline Tb6Pr3Th at its relaxed geometry, with properties calculated at the GGA-PBE level.

Cell: 3.5547 13.3624 16.5433 Å, 121.13 90.00 90.00°
Element x y z (fractional)
Tb (0.7500, 0.6039, 0.7114)
Tb (0.2500, 0.3961, 0.2886)
Tb (0.7500, 0.8609, 0.0994)
Tb (0.2500, 0.1391, 0.9006)
Tb (0.7500, 0.3820, 0.0997)
Tb (0.2500, 0.6180, 0.9003)
Tb (0.7500, 0.6492, 0.3076)
Tb (0.2500, 0.3508, 0.6924)
Tb (0.7500, 0.1224, 0.4878)
Tb (0.2500, 0.8776, 0.5122)
Tb (0.7500, 0.8861, 0.7164)
Tb (0.2500, 0.1139, 0.2836)
Pr (0.7500, 0.3842, 0.8943)
Pr (0.2500, 0.6158, 0.1057)
Pr (0.7500, 0.6205, 0.5013)
Pr (0.2500, 0.3795, 0.4987)
Pr (0.7500, 0.1289, 0.0963)
Pr (0.2500, 0.8711, 0.9037)
Th (0.7500, 0.1181, 0.6969)
Th (0.2500, 0.8819, 0.3031)

Summary:
E_form = 0.0870 eV per atom

(5)
Below is crystalline La3CdO at its relaxed geometry, with properties calculated at the GGA-PBE level.

Cell: 5.0507 7.1912 8.1578 Å, 116.15 90.00 90.00°
Element x y z (fractional)
La (0.7573, 0.4724, 0.9373)
La (0.7573, 0.9724, 0.9373)
La (0.7573, 0.7249, 0.4372)
La (0.2573, 0.8421, 0.1764)
La (0.2573, 0.1029, 0.6981)
La (0.7573, 0.2200, 0.4373)
O (0.7574, 0.8455, 0.1833)
O (0.7573, 0.0994, 0.6912)
Cd (0.2574, 0.5978, 0.6880)
Cd (0.2574, 0.3472, 0.1867)

Summary:
Energy relative to the lowest polymorph listed for this composition = 54.7 meV/atom
Formation energy (no corrections) = -1.2520 eV/atom

(6)
Below is crystalline NaSmPd at its relaxed geometry, with properties calculated at the GGA-PBE level.

Cell: 4.1325 4.1325 9.5407 Å, 102.76 102.76 88.99°
Element x y z (fractional)
Na (0.7587, 0.7587, 0.4993)
Na (0.2413, 0.2413, 0.5007)
Sm (0.6830, 0.6830, 0.8654)
Sm (0.3170, 0.3170, 0.1346)
Pd (0.1530, 0.1530, 0.8063)
Pd (0.8470, 0.8470, 0.1937)

Summary:
E_form = -0.3794 eV per atom

(7)
Below is crystalline SrLiMg2Hg at its relaxed geometry, with properties calculated at the GGA-PBE level.

Cell: 5.3208 5.3208 5.2628 Å, 90.00 90.00 90.00°
Element x y z (fractional)
Sr (0.5000, 0.5000, 0.5000)
Mg (0.0000, 0.5000, 0.0000)
Mg (0.5000, 0.0000, 0.0000)
Hg (0.0000, 0.0000, 0.0000)
Li (0.0000, 0.0000, 0.5000)

Summary:
Energy relative to the lowest polymorph listed for this composition = 0.0 meV/atom
E_form = -0.0686 eV per atom

(8)
Below is crystalline TlPdRh2 at its relaxed geometry, with properties calculated at the GGA-PBE level.

Cell: 4.5371 4.5371 4.5371 Å, 60.00 60.00 60.00°
Element x y z (fractional)
Tl (0.5000, 0.5000, 0.5000)
Rh (0.2500, 0.2500, 0.2500)
Rh (0.7500, 0.7500, 0.7500)
Pd (0.0000, 0.0000, 0.0000)

Summary:
Energy relative to the lowest polymorph listed for this composition = 42.1 meV/atom
E_form = 0.1387 eV per atom

(9)
Below is crystalline KSiTe at its relaxed geometry, with properties calculated at the GGA-PBE level.

Cell: 4.5162 4.5162 5.9051 Å, 90.00 90.00 120.00°
Element x y z (fractional)
K (0.0000, 0.0000, 0.9891)
Si (0.6667, 0.3333, 0.5897)
Te (0.3333, 0.6667, 0.4213)

Summary:
Energy relative to the lowest polymorph listed for this composition = 74.2 meV/atom
Formation energy (no corrections) = -0.0309 eV/atom

(10)
Below is crystalline Ac4Sn2C at its relaxed geometry, with properties calculated at the GGA-PBE level.

Cell: 5.3138 5.3138 9.5528 Å, 106.15 106.15 90.00°
Element x y z (fractional)
C (0.0000, 0.0000, 0.0000)
Ac (0.8332, 0.8332, 0.6665)
Ac (0.1668, 0.1668, 0.3335)
Ac (0.0000, 0.5000, 0.0000)
Ac (0.5000, 0.0000, 0.0000)
Sn (0.6379, 0.6379, 0.2759)
Sn (0.3621, 0.3621, 0.7241)

Summary:
E_form = -0.3900 eV per atom

(11)
Below is crystalline LaFeW3 at its relaxed geometry, with properties calculated at the GGA-PBE level.

Cell: 4.7407 4.7407 4.7407 Å, 90.00 90.00 90.00°
Element x y z (fractional)
Fe (0.5000, 0.5000, 0.5000)
W (0.0000, 0.5000, 0.0000)
W (0.0000, 0.0000, 0.5000)
W (0.5000, 0.0000, 0.0000)
La (0.0000, 0.0000, 0.0000)

Summary:
Energy relative to the lowest polymorph listed for this composition = 2225.0 meV/atom
E_form = 3.3228 eV per atom

(12)
Below is crystalline Na3Mg2Tl3 at its relaxed geometry, with properties calculated at the GGA-PBE level.

Cell: 3.3944 8.6383 8.6383 Å, 120.00 90.00 90.00°
Element x y z (fractional)
Na (0.0000, 0.2393, 0.0000)
Na (0.0000, 0.0000, 0.2393)
Na (0.0000, 0.7607, 0.7607)
Mg (0.0000, 0.3333, 0.6667)
Mg (0.0000, 0.6667, 0.3333)
Tl (0.5000, 0.6028, 0.0000)
Tl (0.5000, 0.0000, 0.6028)
Tl (0.5000, 0.3972, 0.3972)

Summary:
Energy relative to the lowest polymorph listed for this composition = 0.0 meV/atom
E_form = -0.0877 eV per atom